# 1
Below is a relaxed Fe4Co crystal, with properties calculated at the PBE-GGA level. Values from VASP.

Computed properties:
space group: Im-3m (229)
distance to the lowest polymorph of the same formula: 4.15 eV per formula unit
crystal system: cubic

The structure in Quantum ESPRESSO input format:
```
&SYSTEM
  ibrav = 0, nat = 5, ntyp = 2
/
ATOMIC_SPECIES
Fe 55.84 Fe.upf
Co 58.93 Co.upf
CELL_PARAMETERS angstrom
-0.252 -2.688 3.701
3.092 3.302 0.719
-4.096 1.890 -0.796
ATOMIC_POSITIONS crystal
Fe 0.500 0.000 0.000
Fe 0.500 0.500 0.500
Fe 0.000 0.500 0.000
Fe 0.000 0.000 0.500
Co 0.000 0.000 0.000
```

=====

# 2
Below is a relaxed PmSc2Hg crystal, with properties calculated at the PBE-GGA level. Values from VASP.

Computed properties:
space group: R3m (160)
distance to the lowest polymorph of the same formula: 0.40 eV per formula unit
crystal system: trigonal

The structure in Quantum ESPRESSO input format:
```
&SYSTEM
  ibrav = 0, nat = 4, ntyp = 3
/
ATOMIC_SPECIES
Pm 145.00 Pm.upf
Sc 44.96 Sc.upf
Hg 200.59 Hg.upf
CELL_PARAMETERS angstrom
3.471 0.000 0.000
1.736 3.006 0.000
1.736 1.002 10.126
ATOMIC_POSITIONS crystal
Pm 0.500 0.500 0.499
Sc 0.074 0.074 0.777
Sc 0.259 0.259 0.223
Hg 0.666 0.666 0.001
```

=====

# 3
Below is a relaxed LiRu2Cl crystal, with properties calculated at the PBE-GGA level. Values from VASP.

Computed properties:
space group: I-42d (122)
distance to the lowest polymorph of the same formula: 2.92 eV per formula unit
crystal system: tetragonal
E_form (uncorrected): 674 meV/atom

The structure in Quantum ESPRESSO input format:
```
&SYSTEM
  ibrav = 0, nat = 8, ntyp = 3
/
ATOMIC_SPECIES
Ru 101.07 Ru.upf
Li 6.94 Li.upf
Cl 35.45 Cl.upf
CELL_PARAMETERS angstrom
-1.088 -2.895 -6.772
2.501 -6.584 2.413
-1.399 -5.324 -1.592
ATOMIC_POSITIONS crystal
Ru 0.713 0.125 0.250
Ru 0.037 0.625 0.250
Ru 0.375 0.287 0.750
Ru 0.875 0.963 0.750
Li 0.500 0.500 0.000
Li 0.250 0.750 0.500
Cl 0.000 0.000 0.000
Cl 0.750 0.250 0.500
```

=====

# 4
Below is a relaxed Mg2HIr crystal, with properties calculated at the PBE-GGA level. Values from VASP.

Computed properties:
space group: Cm (8)
distance to the lowest polymorph of the same formula: 0.08 eV per formula unit
crystal system: monoclinic

The structure in Quantum ESPRESSO input format:
```
&SYSTEM
  ibrav = 0, nat = 8, ntyp = 3
/
ATOMIC_SPECIES
Mg 24.30 Mg.upf
H 1.01 H.upf
Ir 192.22 Ir.upf
CELL_PARAMETERS angstrom
-2.381 4.202 -2.503
-1.358 -1.100 -5.153
-3.471 -4.187 0.202
ATOMIC_POSITIONS crystal
Mg 0.610 0.250 0.531
Mg 0.065 0.712 0.523
Mg 0.109 0.237 0.043
Mg 0.565 0.776 0.960
H 0.368 0.744 0.295
H 0.869 0.242 0.295
Ir 0.104 0.743 0.030
Ir 0.603 0.244 0.030
```

=====

# 5
Below is a relaxed GaHgCl3 crystal, with properties calculated at the PBE-GGA level. Values from VASP.

Computed properties:
space group: P2_1/c (14)
distance to the lowest polymorph of the same formula: 0.10 eV per formula unit
crystal system: monoclinic
E_form (uncorrected): -855 meV/atom

The structure in Quantum ESPRESSO input format:
```
&SYSTEM
  ibrav = 0, nat = 20, ntyp = 3
/
ATOMIC_SPECIES
Ga 69.72 Ga.upf
Hg 200.59 Hg.upf
Cl 35.45 Cl.upf
CELL_PARAMETERS angstrom
6.508 0.000 0.000
0.000 11.693 -0.449
0.000 -2.081 10.690
ATOMIC_POSITIONS crystal
Ga 0.383 0.486 0.130
Ga 0.617 0.514 0.870
Ga 0.883 0.014 0.370
Ga 0.117 0.986 0.630
Hg 0.753 0.526 0.451
Hg 0.247 0.474 0.549
Hg 0.253 0.974 0.049
Hg 0.747 0.026 0.951
Cl 0.355 0.316 0.166
Cl 0.645 0.684 0.834
Cl 0.855 0.184 0.334
Cl 0.145 0.816 0.666
Cl 0.253 0.639 0.248
Cl 0.747 0.361 0.752
Cl 0.753 0.861 0.252
Cl 0.247 0.139 0.748
Cl 0.779 0.023 0.579
Cl 0.221 0.977 0.421
Cl 0.279 0.477 0.921
Cl 0.721 0.523 0.079
```

=====

# 6
Below is a relaxed CaGdAlAu crystal, with properties calculated at the PBE-GGA level. Values from VASP.

Computed properties:
space group: F-43m (216)
crystal system: cubic
total energy: -6.29 eV/atom

The structure in Quantum ESPRESSO input format:
```
&SYSTEM
  ibrav = 0, nat = 4, ntyp = 4
/
ATOMIC_SPECIES
Ca 40.08 Ca.upf
Gd 157.25 Gd.upf
Au 196.97 Au.upf
Al 26.98 Al.upf
CELL_PARAMETERS angstrom
5.178 0.000 0.000
2.589 4.484 0.000
2.589 1.495 4.228
ATOMIC_POSITIONS crystal
Ca 0.750 0.750 0.750
Gd 0.250 0.250 0.250
Au 0.500 0.500 0.500
Al 0.000 0.000 0.000
```

=====

# 7
Below is a relaxed Na2Ca2Ge crystal, with properties calculated at the PBE-GGA level. Values from VASP.

Computed properties:
space group: P4/mbm (127)
distance to the lowest polymorph of the same formula: 0.26 eV per formula unit
crystal system: tetragonal

The structure in Quantum ESPRESSO input format:
```
&SYSTEM
  ibrav = 0, nat = 10, ntyp = 3
/
ATOMIC_SPECIES
Na 22.99 Na.upf
Ge 72.64 Ge.upf
Ca 40.08 Ca.upf
CELL_PARAMETERS angstrom
7.533 0.000 0.000
0.000 7.533 0.000
0.000 0.000 5.222
ATOMIC_POSITIONS crystal
Na 0.367 0.867 0.000
Na 0.867 0.633 0.000
Na 0.633 0.133 0.000
Na 0.133 0.367 0.000
Ge 0.000 0.000 0.000
Ge 0.500 0.500 0.000
Ca 0.197 0.697 0.500
Ca 0.697 0.803 0.500
Ca 0.803 0.303 0.500
Ca 0.303 0.197 0.500
```

=====

# 8
Below is a relaxed YRu5 crystal, with properties calculated at the PBE-GGA level. Values from VASP.

Computed properties:
space group: Cmmm (65)
crystal system: orthorhombic
total energy: -8.73 eV/atom

The structure in Quantum ESPRESSO input format:
```
&SYSTEM
  ibrav = 0, nat = 6, ntyp = 2
/
ATOMIC_SPECIES
Y 88.91 Y.upf
Ru 101.07 Ru.upf
CELL_PARAMETERS angstrom
1.970 -6.189 0.000
1.970 6.189 0.000
0.000 0.000 3.938
ATOMIC_POSITIONS crystal
Y 0.500 0.500 0.000
Ru 0.317 0.683 0.500
Ru 0.184 0.816 0.000
Ru 0.000 0.000 0.500
Ru 0.816 0.184 0.000
Ru 0.683 0.317 0.500
```